# 1
The following is a DFT calculation (PBE-GGA) of ThUTe2C after structural relaxation.

abc: 4.131 4.131 14.638
angles: 90.00 90.00 90.00
Site moments in Bohr magnetons follow the coordinates.
Fractional coordinates of all 10 atoms:
1 U 0.500 0.000 0.573  0.56
2 C 0.500 0.500 0.500  -0.05
3 U 0.000 0.500 0.427  0.56
4 Te 0.000 0.500 0.684  -0.04
5 C 0.000 0.000 0.500  -0.05
6 Te 0.500 0.000 0.316  -0.04
7 Te 0.500 0.000 0.851  0.00
8 Th 0.500 0.000 0.084  -0.01
9 Te 0.000 0.500 0.149  0.00
10 Th 0.000 0.500 0.916  -0.01

Results
symmetry: P4/nmm, No. 129

# 2
The following is a DFT calculation (PBE-GGA) of Zn2WI after structural relaxation.

abc: 4.794 4.794 4.794
angles: 60.00 60.00 60.00
Site moments in Bohr magnetons follow the coordinates.
Fractional coordinates of all 4 atoms:
1 Zn 0.250 0.250 0.250  0.00
2 Zn 0.750 0.750 0.750  0.00
3 W 0.500 0.500 0.500  1.45
4 I 0.000 0.000 0.000  -0.01

Results
symmetry: Fm-3m, No. 225

# 3
The following is a DFT calculation (PBE-GGA) of Dy6Si2Pb after structural relaxation.

abc: 8.534 8.534 8.534
angles: 105.29 110.75 112.46
Fractional coordinates of all 18 atoms:
1 Dy 0.702 0.383 0.680
2 Si 0.372 0.000 0.372
3 Dy 0.907 0.720 0.187
4 Dy 0.093 0.280 0.813
5 Dy 0.298 0.978 0.680
6 Dy 0.702 0.022 0.320
7 Pb 0.000 0.000 0.000
8 Si 0.628 0.000 0.628
9 Pb 0.000 0.500 0.500
10 Si 0.500 0.615 0.115
11 Dy 0.209 0.240 0.448
12 Dy 0.298 0.617 0.320
13 Dy 0.466 0.280 0.187
14 Dy 0.209 0.760 0.969
15 Dy 0.534 0.720 0.813
16 Dy 0.791 0.240 0.031
17 Si 0.500 0.385 0.885
18 Dy 0.791 0.760 0.552

Results
symmetry: Immm, No. 71

Number 1: final energy -74.75 eV for the cell shown, DOS(E_F) 3.80 states/eV/f.u.. Number 2: final energy -11.64 eV for the cell shown, DOS(E_F) 4.32 states/eV/f.u.. Number 3: final energy -94.11 eV for the cell shown, DOS(E_F) 6.30 states/eV/f.u..